No. 1
The following is a PBE-GGA calculation of crystalline Tb3Mg5H12 at its relaxed geometry, from Alexandria via LeMat-Bulk.

abc: 10.585 10.585 10.585
angles: 109.47 109.47 109.47
Fractional positions:
Tb 0.125 0.250 0.375
Tb 0.125 0.375 0.750
Tb 0.250 0.375 0.125
Tb 0.250 0.875 0.625
Tb 0.375 0.125 0.250
Tb 0.375 0.750 0.125
Tb 0.625 0.250 0.875
Tb 0.625 0.875 0.750
Tb 0.750 0.125 0.375
Tb 0.750 0.625 0.875
Tb 0.875 0.625 0.250
Tb 0.875 0.750 0.625
Mg 0.000 0.000 0.000
Mg 0.000 0.000 0.500
Mg 0.000 0.500 0.000
Mg 0.000 0.500 0.500
Mg 0.125 0.750 0.875
Mg 0.125 0.875 0.250
Mg 0.250 0.125 0.875
Mg 0.250 0.625 0.375
Mg 0.375 0.250 0.625
Mg 0.375 0.625 0.750
Mg 0.500 0.000 0.000
Mg 0.500 0.000 0.500
Mg 0.500 0.500 0.000
Mg 0.500 0.500 0.500
Mg 0.625 0.375 0.250
Mg 0.625 0.750 0.375
Mg 0.750 0.375 0.625
Mg 0.750 0.875 0.125
Mg 0.875 0.125 0.750
Mg 0.875 0.250 0.125
H 0.048 0.218 0.136
H 0.048 0.330 0.912
H 0.082 0.718 0.670
H 0.082 0.864 0.412
H 0.088 0.636 0.418
H 0.088 0.952 0.670
H 0.136 0.048 0.218
H 0.136 0.588 0.918
H 0.170 0.218 0.582
H 0.170 0.452 0.588
H 0.218 0.136 0.048
H 0.218 0.582 0.170
H 0.282 0.330 0.918
H 0.282 0.452 0.364
H 0.330 0.912 0.048
H 0.330 0.918 0.282
H 0.364 0.282 0.452
H 0.364 0.582 0.912
H 0.412 0.082 0.864
H 0.412 0.830 0.548
H 0.418 0.088 0.636
H 0.418 0.830 0.782
H 0.452 0.364 0.282
H 0.452 0.588 0.170
H 0.548 0.412 0.830
H 0.548 0.636 0.718
H 0.582 0.170 0.218
H 0.582 0.912 0.364
H 0.588 0.170 0.452
H 0.588 0.918 0.136
H 0.636 0.418 0.088
H 0.636 0.718 0.548
H 0.670 0.082 0.718
H 0.670 0.088 0.952
H 0.718 0.548 0.636
H 0.718 0.670 0.082
H 0.782 0.418 0.830
H 0.782 0.864 0.952
H 0.830 0.548 0.412
H 0.830 0.782 0.418
H 0.864 0.412 0.082
H 0.864 0.952 0.782
H 0.912 0.048 0.330
H 0.912 0.364 0.582
H 0.918 0.136 0.588
H 0.918 0.282 0.330
H 0.952 0.670 0.088
H 0.952 0.782 0.864

Its electronic total energy is -0.12329 Ha/atom. The value obtained for the density of states at the Fermi level is 0.247 states/eV/atom. Its symmetry is Ia-3d, No. 230.

No. 2
The following is a PBE-GGA calculation of crystalline Sm3Tl3Cd at its relaxed geometry, from Alexandria via LeMat-Bulk.

abc: 9.224 9.224 5.466
angles: 90.00 90.00 120.00
Fractional positions:
Sm 0.097 0.451 0.250
Sm 0.353 0.903 0.250
Sm 0.451 0.353 0.750
Sm 0.549 0.647 0.250
Sm 0.647 0.097 0.750
Sm 0.903 0.549 0.750
Tl 0.052 0.245 0.750
Tl 0.193 0.948 0.750
Tl 0.245 0.193 0.250
Tl 0.755 0.807 0.750
Tl 0.807 0.052 0.250
Tl 0.948 0.755 0.250
Cd 0.333 0.667 0.750
Cd 0.667 0.333 0.250

Its electronic total energy is -0.12422 Ha/atom. The value obtained for the density of states at the Fermi level is 0.827 states/eV/atom. Its symmetry is P6_3/m, No. 176. The value obtained for the energy of formation from the pure elements is -0.213 eV/atom.

No. 3
The following is a PBE-GGA calculation of crystalline ZrBi2RuN at its relaxed geometry, from Alexandria via LeMat-Bulk.

abc: 5.181 5.181 3.774
angles: 90.00 90.00 90.00
Fractional positions:
Zr 0.000 0.000 0.000
Bi 0.000 0.500 0.500
Bi 0.500 0.000 0.500
Ru 0.500 0.500 0.000
N 0.500 0.500 0.500

Its electronic total energy is -0.24073 Ha/atom. The value obtained for the density of states at the Fermi level is 0.738 states/eV/atom. Its symmetry is P4/mmm, No. 123. Its formation energy (no corrections) is 232 meV per atom.